[1]
A geometry-optimized Pa3B7Mo structure. Source: Alexandria, functional PBE-GGA.

a = 3.638 Å, b = 15.877 Å, c = 9.370 Å
α = 90.00°, β = 90.00°, γ = 90.00°
Space group Cmcm (No. 63)
Symmetry-distinct sites (fractional):
Pa: 0.000 0.107 0.059 (multiplicity 8)
Pa: 0.000 0.247 0.750 (multiplicity 4)
B: 0.000 0.276 0.036 (multiplicity 8)
B: 0.000 0.367 0.153 (multiplicity 8)
B: 0.000 0.456 0.750 (multiplicity 4)
B: 0.000 0.480 0.093 (multiplicity 8)
Mo: 0.000 0.051 0.750 (multiplicity 4)

Properties
Energy, eV per cell: -366.702
DFT formation energy, meV per atom: -510

---

[2]
A geometry-optimized Pm2GaCu2O6 structure. Source: Alexandria, functional PBE-GGA.

a = 5.7829 Å, b = 5.7829 Å, c = 15.0022 Å
α = 90.00°, β = 90.00°, γ = 120.00°
Space group R-3m (No. 166, hexagonal axes)
Symmetry-distinct sites (fractional):
Pm: 0.0000 0.0000 0.2102 (multiplicity 6)
Ga: 0.0000 0.0000 0.0000 (multiplicity 3)
Cu: 0.0000 0.0000 0.4141 (multiplicity 6)
O: 0.0394 0.5197 0.7560 (multiplicity 18)

Properties
Energy, eV per cell: -210.422
Formation energy (no corrections), eV per atom: -1.788

---

[3]
A geometry-optimized YTiIr2 structure. Source: Alexandria, functional PBE-GGA.

a = 7.203 Å, b = 7.203 Å, c = 5.895 Å
α = 90.00°, β = 90.00°, γ = 90.00°
Space group I-42d (No. 122)
Symmetry-distinct sites (fractional):
Y: 0.000 0.000 0.000 (multiplicity 4)
Ti: 0.000 0.000 0.500 (multiplicity 4)
Ir: 0.210 0.250 0.625 (multiplicity 8)

Properties
Energy, eV per cell: -133.899
DFT formation energy, meV per atom: -348